1.
Computed, not measured: an optimized crystal structure of CaMnCl at the PBE level of DFT.

Formation energy from raw total energies (kJ/mol of atoms): -37.6
Total moment (μB/cell): 4.00
Space group: P3m1

a b c (Å): 3.6735 3.6735 6.4596
angles (deg): 90.00 90.00 120.00
Fractional positions:
Ca 0.0000 0.0000 0.0000
Mn 0.6667 0.3333 0.6359
Cl 0.3333 0.6667 0.2872

2.
Computed, not measured: an optimized crystal structure of Sr3ScOs at the PBE level of DFT.

Formation energy from the elements (eV/f.u.): 9.0
Total moment (μB/cell): 5.54
Space group: Pm-3m

a b c (Å): 5.9382 5.9382 5.9382
angles (deg): 90.00 90.00 90.00
Fractional positions:
Sr 0.0000 0.0000 0.5000
Sr 0.0000 0.5000 0.0000
Sr 0.5000 0.0000 0.0000
Sc 0.0000 0.0000 0.0000
Os 0.5000 0.5000 0.5000

3.
Computed, not measured: an optimized crystal structure of ThMgAl2Ni4 at the PBE level of DFT.

Formation energy from the elements (eV/f.u.): -3.7
Total moment (μB/cell): 0.00
Space group: R-3m

a b c (Å): 8.6964 8.6964 8.6964
angles (deg): 27.42 27.42 27.42
Fractional positions:
Th 0.0000 0.0000 0.0000
Mg 0.5000 0.5000 0.5000
Al 0.2351 0.2351 0.2351
Al 0.7649 0.7649 0.7649
Ni 0.1267 0.1267 0.1267
Ni 0.4016 0.4016 0.4016
Ni 0.5984 0.5984 0.5984
Ni 0.8733 0.8733 0.8733

4.
Computed, not measured: an optimized crystal structure of CaZn2Mo2 at the PBE level of DFT.

Formation energy from the elements (eV/f.u.): 1.4
Total moment (μB/cell): 0.00
Space group: P4/mbm

a b c (Å): 8.0546 8.0546 2.7835
angles (deg): 90.00 90.00 90.00
Fractional positions:
Ca 0.0000 0.0000 0.0000
Ca 0.5000 0.5000 0.0000
Zn 0.1815 0.3185 0.0000
Zn 0.3185 0.8185 0.0000
Zn 0.6815 0.1815 0.0000
Zn 0.8185 0.6815 0.0000
Mo 0.1098 0.6098 0.5000
Mo 0.3902 0.1098 0.5000
Mo 0.6098 0.8902 0.5000
Mo 0.8902 0.3902 0.5000